VASP calculation (GGA-PBE) on a relaxed Sm2MnCd crystal.

The energy above the most stable polymorph in this dataset is 0.0 meV/atom. The calculation puts the total magnetization at 3.0 μB/cell. The calculation puts the calculated formation energy at -0.04 eV per atom.

abc: 3.614 3.614 7.862
angles: 90.00 90.00 90.00
Space group P4/mmm (No. 123)
Inequivalent atoms, fractional coordinates:
Sm1 0.000 0.000 0.228 (multiplicity 2)
Mn1 0.500 0.500 0.000 (multiplicity 1)
Cd1 0.500 0.500 0.500 (multiplicity 1)